[1]
An optimized crystal structure of Y2InAgH. Source: the Alexandria database, functional PBE.

Computed properties:
**N(E_F)**: 2.56 states/eV/f.u.
**Electronic total energy**: -0.17497 hartree per atom

Cell and atoms, written as CIF:
```
data_Y2InAgH
_cell_length_a 4.922
_cell_length_b 4.922
_cell_length_c 4.206
_cell_angle_alpha 90.00
_cell_angle_beta 90.00
_cell_angle_gamma 90.00
_symmetry_space_group_name_H-M 'P 4/m m m'
_symmetry_Int_Tables_number 123
_symmetry_space_group_name_Hall '-P 4 2'
loop_
_atom_site_label
_atom_site_fract_x
_atom_site_fract_y
_atom_site_fract_z
Y1 0.000 0.500 0.000
In1 0.000 0.000 0.500
Ag1 0.500 0.500 0.500
H1 0.500 0.500 0.000
```

=====

[2]
An optimized crystal structure of KSrNbCd2. Source: the Alexandria database, functional PBE.

Computed properties:
**Calculated formation energy**: 0.62 eV per atom
**N(E_F)**: 5.08 states/eV/f.u.

Cell and atoms, written as CIF:
```
data_KSrNbCd2
_cell_length_a 5.634
_cell_length_b 5.634
_cell_length_c 5.669
_cell_angle_alpha 90.00
_cell_angle_beta 90.00
_cell_angle_gamma 90.00
_symmetry_space_group_name_H-M 'P 4/m m m'
_symmetry_Int_Tables_number 123
_symmetry_space_group_name_Hall '-P 4 2'
loop_
_atom_site_label
_atom_site_fract_x
_atom_site_fract_y
_atom_site_fract_z
K1 0.000 0.000 0.000
Sr1 0.500 0.500 0.000
Nb1 0.500 0.500 0.500
Cd1 0.000 0.500 0.500
```

=====

[3]
An optimized crystal structure of LiLa3Pm2S6. Source: the Alexandria database, functional PBE.

Computed properties:
**N(E_F)**: 5.69 states/eV/f.u.
**Formation energy without anion corrections**: -2.0172 eV per atom

Cell and atoms, written as CIF:
```
data_LiLa3Pm2S6
_cell_length_a 7.055
_cell_length_b 12.254
_cell_length_c 7.028
_cell_angle_alpha 90.00
_cell_angle_beta 109.68
_cell_angle_gamma 90.00
_symmetry_space_group_name_H-M 'C 1 2/m 1'
_symmetry_Int_Tables_number 12
_symmetry_space_group_name_Hall '-C 2y'
loop_
_atom_site_label
_atom_site_fract_x
_atom_site_fract_y
_atom_site_fract_z
Li1 0.000 0.000 0.000
La1 0.000 0.166 0.500
La2 0.000 0.500 0.500
Pm1 0.000 0.334 0.000
S1 0.242 0.163 0.238
S2 0.246 0.000 0.764
```

=====

[4]
An optimized crystal structure of Al2AgBr. Source: the Alexandria database, functional PBE.

Computed properties:
**N(E_F)**: 1.86 states/eV/f.u.
**Formation energy without anion corrections**: 0.4157 eV per atom

Cell and atoms, written as CIF:
```
data_Al2AgBr
_cell_length_a 7.073
_cell_length_b 7.073
_cell_length_c 7.073
_cell_angle_alpha 90.00
_cell_angle_beta 90.00
_cell_angle_gamma 90.00
_symmetry_space_group_name_H-M 'F -4 3 m'
_symmetry_Int_Tables_number 216
_symmetry_space_group_name_Hall 'F -4 2 3'
loop_
_atom_site_label
_atom_site_fract_x
_atom_site_fract_y
_atom_site_fract_z
Al1 0.000 0.000 0.000
Al2 0.250 0.250 0.250
Ag1 0.000 0.000 0.500
Br1 0.250 0.250 0.750
```

=====

[5]
An optimized crystal structure of YBeCdIn2. Source: the Alexandria database, functional PBE.

Computed properties:
**Calculated formation energy**: 0.10 eV per atom
**N(E_F)**: 1.90 states/eV/f.u.

Cell and atoms, written as CIF:
```
data_YBeCdIn2
_cell_length_a 4.943
_cell_length_b 4.943
_cell_length_c 4.698
_cell_angle_alpha 90.00
_cell_angle_beta 90.00
_cell_angle_gamma 90.00
_symmetry_space_group_name_H-M 'P 4/m m m'
_symmetry_Int_Tables_number 123
_symmetry_space_group_name_Hall '-P 4 2'
loop_
_atom_site_label
_atom_site_fract_x
_atom_site_fract_y
_atom_site_fract_z
Y1 0.000 0.000 0.000
Be1 0.500 0.500 0.500
Cd1 0.500 0.500 0.000
In1 0.000 0.500 0.500
```

=====

[6]
An optimized crystal structure of TbSm5Tl2. Source: the Alexandria database, functional PBE.

Computed properties:
**Calculated formation energy**: -0.11 eV per atom
**N(E_F)**: 11.00 states/eV/f.u.

Cell and atoms, written as CIF:
```
data_TbSm5Tl2
_cell_length_a 3.678
_cell_length_b 10.862
_cell_length_c 12.573
_cell_angle_alpha 90.00
_cell_angle_beta 90.00
_cell_angle_gamma 90.00
_symmetry_space_group_name_H-M 'I m m m'
_symmetry_Int_Tables_number 71
_symmetry_space_group_name_Hall '-I 2 2'
loop_
_atom_site_label
_atom_site_fract_x
_atom_site_fract_y
_atom_site_fract_z
Tb1 0.000 0.000 0.000
Sm1 0.000 0.223 0.363
Sm2 0.000 0.500 0.000
Tl1 0.000 0.500 0.272
```

=====

[7]
An optimized crystal structure of AcTl2Ag. Source: the Alexandria database, functional PBE.

Computed properties:
**Calculated formation energy**: -0.25 eV per atom
**N(E_F)**: 1.85 states/eV/f.u.

Cell and atoms, written as CIF:
```
data_AcTl2Ag
_cell_length_a 5.056
_cell_length_b 11.802
_cell_length_c 7.657
_cell_angle_alpha 90.00
_cell_angle_beta 90.00
_cell_angle_gamma 90.00
_symmetry_space_group_name_H-M 'C m c m'
_symmetry_Int_Tables_number 63
_symmetry_space_group_name_Hall '-C 2c 2'
loop_
_atom_site_label
_atom_site_fract_x
_atom_site_fract_y
_atom_site_fract_z
Ac1 0.000 0.093 0.250
Tl1 0.000 0.369 0.046
Ag1 0.000 0.193 0.750
```

=====

[8]
An optimized crystal structure of Mn2IrSe. Source: the Alexandria database, functional PBE.

Computed properties:
**N(E_F)**: 4.07 states/eV/f.u.
**Formation energy without anion corrections**: 0.3769 eV per atom

Cell and atoms, written as CIF:
```
data_Mn2IrSe
_cell_length_a 3.007
_cell_length_b 4.612
_cell_length_c 9.090
_cell_angle_alpha 90.00
_cell_angle_beta 90.00
_cell_angle_gamma 90.00
_symmetry_space_group_name_H-M 'C m m 2'
_symmetry_Int_Tables_number 35
_symmetry_space_group_name_Hall 'C 2 -2'
loop_
_atom_site_label
_atom_site_fract_x
_atom_site_fract_y
_atom_site_fract_z
Mn1 0.000 0.000 0.000
Mn2 0.000 0.500 0.229
Ir1 0.000 0.000 0.446
Se1 0.000 0.500 0.793
```

=====

[9]
An optimized crystal structure of Zn3InSi. Source: the Alexandria database, functional PBE.

Computed properties:
**N(E_F)**: 1.93 states/eV/f.u.
**Formation energy without anion corrections**: 0.3477 eV per atom

Cell and atoms, written as CIF:
```
data_Zn3InSi
_cell_length_a 4.814
_cell_length_b 4.814
_cell_length_c 4.814
_cell_angle_alpha 90.00
_cell_angle_beta 90.00
_cell_angle_gamma 90.00
_symmetry_space_group_name_H-M 'P m -3 m'
_symmetry_Int_Tables_number 221
_symmetry_space_group_name_Hall '-P 4 2 3'
loop_
_atom_site_label
_atom_site_fract_x
_atom_site_fract_y
_atom_site_fract_z
Zn1 0.000 0.000 0.500
In1 0.500 0.500 0.500
Si1 0.000 0.000 0.000
```

=====

[10]
An optimized crystal structure of PuInPb2. Source: the Alexandria database, functional PBE.

Computed properties:
**Calculated formation energy**: -0.01 eV per atom
**N(E_F)**: 11.09 states/eV/f.u.

Cell and atoms, written as CIF:
```
data_PuInPb2
_cell_length_a 4.026
_cell_length_b 4.026
_cell_length_c 7.022
_cell_angle_alpha 90.00
_cell_angle_beta 90.00
_cell_angle_gamma 90.00
_symmetry_space_group_name_H-M 'P 4/m m m'
_symmetry_Int_Tables_number 123
_symmetry_space_group_name_Hall '-P 4 2'
loop_
_atom_site_label
_atom_site_fract_x
_atom_site_fract_y
_atom_site_fract_z
Pu1 0.000 0.000 0.000
In1 0.000 0.000 0.500
Pb1 0.500 0.500 0.263
```

=====

[11]
An optimized crystal structure of Nd2MnGa3Ni4. Source: the Alexandria database, functional PBE.

Computed properties:
**Calculated formation energy**: -0.44 eV per atom
**N(E_F)**: 8.24 states/eV/f.u.

Cell and atoms, written as CIF:
```
data_Nd2MnGa3Ni4
_cell_length_a 4.096
_cell_length_b 4.096
_cell_length_c 10.165
_cell_angle_alpha 90.00
_cell_angle_beta 90.00
_cell_angle_gamma 90.00
_symmetry_space_group_name_H-M 'P -4 m 2'
_symmetry_Int_Tables_number 115
_symmetry_space_group_name_Hall 'P -4 -2'
loop_
_atom_site_label
_atom_site_fract_x
_atom_site_fract_y
_atom_site_fract_z
Nd1 0.000 0.500 0.247
Mn1 0.000 0.000 0.500
Ga1 0.000 0.500 0.875
Ga2 0.500 0.500 0.500
Ni1 0.000 0.000 0.000
Ni2 0.000 0.500 0.636
Ni3 0.500 0.500 0.000
```

=====

[12]
An optimized crystal structure of NaSrSe2Br. Source: the Alexandria database, functional PBE.

Computed properties:
**N(E_F)**: 5.73 states/eV/f.u.
**Formation energy without anion corrections**: -0.7470 eV per atom

Cell and atoms, written as CIF:
```
data_NaSrSe2Br
_cell_length_a 5.958
_cell_length_b 5.958
_cell_length_c 5.969
_cell_angle_alpha 90.00
_cell_angle_beta 90.00
_cell_angle_gamma 90.00
_symmetry_space_group_name_H-M 'P 4/m m m'
_symmetry_Int_Tables_number 123
_symmetry_space_group_name_Hall '-P 4 2'
loop_
_atom_site_label
_atom_site_fract_x
_atom_site_fract_y
_atom_site_fract_z
Na1 0.000 0.000 0.000
Sr1 0.500 0.500 0.500
Se1 0.000 0.500 0.500
Br1 0.500 0.500 0.000
```